First-principles (PBE) data for a geometry-optimized Er3Al2Pd structure, as listed in the Alexandria database.

ΔE_f	-0.575	eV/atom
volume	133.1	Å³ per cell
space-group type	No. 123

a = 3.5556 Å, b = 3.5556 Å, c = 10.5303 Å
α = 90.00°, β = 90.00°, γ = 90.00°
Sites, in units of the cell vectors:
Er  0.0000  0.0000  0.0000
Er  0.0000  0.0000  0.3419
Er  0.0000  0.0000  0.6581
Al  0.5000  0.5000  0.1694
Al  0.5000  0.5000  0.8306
Pd  0.5000  0.5000  0.5000



First-principles (PBE) data for a geometry-optimized PmErAl2Pd5 structure, as listed in the Alexandria database.

ΔE_f	-0.807	eV/atom
volume	167.0	Å³ per cell
space-group type	No. 123

a = 4.2477 Å, b = 4.2477 Å, c = 9.2551 Å
α = 90.00°, β = 90.00°, γ = 90.00°
Sites, in units of the cell vectors:
Pm  0.0000  0.0000  0.0000
Er  0.0000  0.0000  0.5000
Al  0.5000  0.5000  0.3614
Al  0.5000  0.5000  0.6386
Pd  0.0000  0.5000  0.2284
Pd  0.0000  0.5000  0.7716
Pd  0.5000  0.0000  0.2284
Pd  0.5000  0.0000  0.7716
Pd  0.5000  0.5000  0.0000